(1)
An optimized crystal structure of La3Nd4Ho3, computed with GGA-PBE.

Summary:
The density of states at the Fermi level is 12.614 states/eV/f.u. The calculated volume comes out at 353.2 Å³/cell. Its calculated total energy is -46.7 eV for the cell shown.

a b c (Å): 3.8408 9.5898 9.5898
angles (deg): 89.68 90.00 90.00
Sites, in units of the cell vectors:
Ho 0.5000 0.6704 0.6678
Ho 0.5000 0.3322 0.3296
Ho 0.5000 0.8292 0.1708
La 0.0000 0.5069 0.0039
La 0.0000 0.9961 0.4931
La 0.5000 0.1698 0.8302
Nd 0.0000 0.3749 0.6251
Nd 0.0000 0.1258 0.1329
Nd 0.0000 0.8671 0.8742
Nd 0.0000 0.6276 0.3724

***

(2)
An optimized crystal structure of CrCu2P2, computed with GGA-PBE.

Summary:
The density of states at the Fermi level is 3.841 states/eV/f.u. The calculated volume comes out at 136.3 Å³/cell. Its calculated total energy is -57.3 eV for the cell shown.

a b c (Å): 5.8597 5.8597 3.9696
angles (deg): 90.00 90.00 90.00
Each line ends with the local moment (μB).
Sites, in units of the cell vectors:
Cu 0.7364 0.7636 0.5000  0.01
Cu 0.2636 0.2364 0.5000  0.01
Cu 0.7636 0.2636 0.5000  0.01
Cu 0.2364 0.7364 0.5000  0.01
P 0.1331 0.3669 0.0000  -0.01
P 0.6331 0.1331 0.0000  -0.01
P 0.3669 0.8669 0.0000  -0.01
P 0.8669 0.6331 0.0000  -0.01
Cr 0.5000 0.5000 0.0000  0.66
Cr 0.0000 0.0000 0.0000  0.66

***

Number 1: E_form 0.84 eV/f.u.. Number 2: E_form -0.02 eV/f.u..